No. 1
Entry from Alexandria via LeMat-Bulk: a relaxed structure of Na2ZnIn2 (PBEsol).

Cell and atoms, written as POSCAR:
```
Na2ZnIn2
1.0
-0.5359 2.5195 -3.0969
-3.6918 -1.5022 -0.5832
-0.7719 4.7336 6.6044
Na Zn In
2 1 2
Cartesian
-3.2888 1.8700 2.0906
-1.7109 3.8809 0.8338
0.0000 0.0000 0.0000
-2.3606 4.2883 3.8973
-2.6390 1.4627 -0.9730
```

Results
Density of states at the Fermi level, states/eV per atom: 0.31
Offset from the most stable computed form, eV/atom: 0.200
Energy relative to the elements, eV per formula unit: 0.97
Calculated total energy, eV per formula unit: -9.37
Space group: No. 139


No. 2
Entry from Alexandria via LeMat-Bulk: a relaxed structure of K2YCuBr6 (PBEsol).

Cell and atoms, written as POSCAR:
```
K2YCuBr6
1.0
7.5562 0.0000 0.0000
3.7781 6.5439 0.0000
3.7781 2.1813 6.1696
K Y Cu Br
2 1 1 6
Cartesian
11.3343 6.5439 4.6272
3.7781 2.1813 1.5424
0.0000 0.0000 0.0000
7.5562 4.3626 3.0848
5.7212 3.3032 4.5831
7.5562 2.2437 1.5866
9.3912 5.4220 1.5866
5.7212 5.4220 1.5866
9.3912 3.3032 4.5831
7.5562 6.4814 4.5831
```

Results
Density of states at the Fermi level, states/eV per atom: 0.00
Formation energy without anion corrections, kJ/mol of atoms: -138.50
Calculated total energy, eV per formula unit: -39.00
Space group: No. 225